Arrangement P

DFT (PBE) results for crystalline RbP2PbO at its relaxed geometry.

Cell and atoms, written as CIF:
```
data_RbP2PbO
_chemical_formula_sum 'Rb1 P2 Pb1 O1'
_space_group_name_H-M_alt 'P 1'
_space_group_IT_number 1
_space_group_name_Hall 'P 1'
_cell_length_a 5.9577
_cell_length_b 5.9577
_cell_length_c 4.9296
_cell_angle_alpha 90.00
_cell_angle_beta 90.00
_cell_angle_gamma 90.00
loop_
_atom_site_label
_atom_site_fract_x
_atom_site_fract_y
_atom_site_fract_z
Rb1 0.0000 0.0000 0.0000
P1 0.0000 0.5000 0.0000
P2 0.5000 0.0000 0.0000
Pb1 0.5000 0.5000 0.5000
O1 0.0000 0.0000 0.5000
```

Properties
spin magnetization	4.99	Bohr magnetons per cell

***

Arrangement Q

DFT (PBE) results for crystalline RbP2PbO at its relaxed geometry.

Cell and atoms, written as CIF:
```
data_RbP2PbO
_chemical_formula_sum 'Rb1 P2 Pb1 O1'
_space_group_name_H-M_alt 'P 1'
_space_group_IT_number 1
_space_group_name_Hall 'P 1'
_cell_length_a 5.5446
_cell_length_b 5.5446
_cell_length_c 4.5150
_cell_angle_alpha 90.00
_cell_angle_beta 90.00
_cell_angle_gamma 90.00
loop_
_atom_site_label
_atom_site_fract_x
_atom_site_fract_y
_atom_site_fract_z
Rb1 0.0000 0.0000 0.0000
P1 0.0000 0.5000 0.5000
P2 0.5000 0.0000 0.5000
Pb1 0.5000 0.5000 0.5000
O1 0.5000 0.5000 0.0000
```

Properties
spin magnetization	3.15	Bohr magnetons per cell

***

Sorted by energy, starting with the most stable: arrangement Q, arrangement P.

***

Arrangement P

DFT (PBE) results for crystalline P2RuPbO at its relaxed geometry.

Cell and atoms, written as CIF:
```
data_P2RuPbO
_chemical_formula_sum 'P2 Ru1 Pb1 O1'
_space_group_name_H-M_alt 'P 1'
_space_group_IT_number 1
_space_group_name_Hall 'P 1'
_cell_length_a 4.9109
_cell_length_b 4.9109
_cell_length_c 3.7427
_cell_angle_alpha 90.00
_cell_angle_beta 90.00
_cell_angle_gamma 90.00
loop_
_atom_site_label
_atom_site_fract_x
_atom_site_fract_y
_atom_site_fract_z
P1 0.0000 0.5000 0.0000
P2 0.5000 0.0000 0.0000
Ru1 0.0000 0.0000 0.0000
Pb1 0.5000 0.5000 0.5000
O1 0.0000 0.0000 0.5000
```

Properties
spin magnetization	0.00	Bohr magnetons per cell

***

Arrangement Q

DFT (PBE) results for crystalline P2RuPbO at its relaxed geometry.

Cell and atoms, written as CIF:
```
data_P2RuPbO
_chemical_formula_sum 'P2 Ru1 Pb1 O1'
_space_group_name_H-M_alt 'P 1'
_space_group_IT_number 1
_space_group_name_Hall 'P 1'
_cell_length_a 5.1788
_cell_length_b 5.1788
_cell_length_c 4.0561
_cell_angle_alpha 90.00
_cell_angle_beta 90.00
_cell_angle_gamma 90.00
loop_
_atom_site_label
_atom_site_fract_x
_atom_site_fract_y
_atom_site_fract_z
P1 0.0000 0.5000 0.0000
P2 0.5000 0.0000 0.0000
Ru1 0.0000 0.0000 0.5000
Pb1 0.5000 0.5000 0.0000
O1 0.5000 0.5000 0.5000
```

Properties
spin magnetization	2.57	Bohr magnetons per cell

***

Sorted by energy, starting with the most stable: arrangement P, arrangement Q.

***

Arrangement P

DFT (PBE) results for crystalline PPbS2O at its relaxed geometry.

Cell and atoms, written as CIF:
```
data_PPbS2O
_chemical_formula_sum 'P1 Pb1 S2 O1'
_space_group_name_H-M_alt 'P 1'
_space_group_IT_number 1
_space_group_name_Hall 'P 1'
_cell_length_a 5.0715
_cell_length_b 5.0715
_cell_length_c 3.6745
_cell_angle_alpha 90.00
_cell_angle_beta 90.00
_cell_angle_gamma 90.00
loop_
_atom_site_label
_atom_site_fract_x
_atom_site_fract_y
_atom_site_fract_z
P1 0.0000 0.0000 0.0000
Pb1 0.5000 0.5000 0.0000
S1 0.0000 0.5000 0.5000
S2 0.5000 0.0000 0.5000
O1 0.0000 0.0000 0.5000
```

Properties
spin magnetization	0.45	Bohr magnetons per cell

***

Arrangement Q

DFT (PBE) results for crystalline PPbS2O at its relaxed geometry.

Cell and atoms, written as CIF:
```
data_PPbS2O
_chemical_formula_sum 'P1 Pb1 S2 O1'
_space_group_name_H-M_alt 'P 1'
_space_group_IT_number 1
_space_group_name_Hall 'P 1'
_cell_length_a 5.2716
_cell_length_b 5.2716
_cell_length_c 5.3879
_cell_angle_alpha 90.00
_cell_angle_beta 90.00
_cell_angle_gamma 90.00
loop_
_atom_site_label
_atom_site_fract_x
_atom_site_fract_y
_atom_site_fract_z
P1 0.0000 0.0000 0.0000
Pb1 0.0000 0.0000 0.5000
S1 0.0000 0.5000 0.5000
S2 0.5000 0.0000 0.5000
O1 0.5000 0.5000 0.0000
```

Properties
spin magnetization	4.46	Bohr magnetons per cell

***

Sorted by energy, starting with the most stable: arrangement P, arrangement Q.

***

Arrangement P

DFT (PBE) results for crystalline P2PbSO at its relaxed geometry.

Cell and atoms, written as CIF:
```
data_P2PbSO
_chemical_formula_sum 'P2 Pb1 S1 O1'
_space_group_name_H-M_alt 'P 1'
_space_group_IT_number 1
_space_group_name_Hall 'P 1'
_cell_length_a 5.3756
_cell_length_b 5.3756
_cell_length_c 5.2627
_cell_angle_alpha 90.00
_cell_angle_beta 90.00
_cell_angle_gamma 90.00
loop_
_atom_site_label
_atom_site_fract_x
_atom_site_fract_y
_atom_site_fract_z
P1 0.0000 0.5000 0.0000
P2 0.5000 0.0000 0.0000
Pb1 0.0000 0.0000 0.0000
S1 0.0000 0.0000 0.5000
O1 0.5000 0.5000 0.5000
```

Properties
spin magnetization	4.55	Bohr magnetons per cell

***

Arrangement Q

DFT (PBE) results for crystalline P2PbSO at its relaxed geometry.

Cell and atoms, written as CIF:
```
data_P2PbSO
_chemical_formula_sum 'P2 Pb1 S1 O1'
_space_group_name_H-M_alt 'P 1'
_space_group_IT_number 1
_space_group_name_Hall 'P 1'
_cell_length_a 3.9530
_cell_length_b 3.9530
_cell_length_c 6.5103
_cell_angle_alpha 90.00
_cell_angle_beta 90.00
_cell_angle_gamma 90.00
loop_
_atom_site_label
_atom_site_fract_x
_atom_site_fract_y
_atom_site_fract_z
P1 0.0000 0.5000 0.0000
P2 0.5000 0.0000 0.0000
Pb1 0.0000 0.0000 0.5000
S1 0.5000 0.5000 0.5000
O1 0.5000 0.5000 0.0000
```

Properties
spin magnetization	0.00	Bohr magnetons per cell

***

Sorted by energy, starting with the most stable: arrangement Q, arrangement P.

***

Arrangement P

DFT (PBE) results for crystalline P2PbSO at its relaxed geometry.

Cell and atoms, written as CIF:
```
data_P2PbSO
_chemical_formula_sum 'P2 Pb1 S1 O1'
_space_group_name_H-M_alt 'P 1'
_space_group_IT_number 1
_space_group_name_Hall 'P 1'
_cell_length_a 5.3733
_cell_length_b 5.3733
_cell_length_c 4.1251
_cell_angle_alpha 90.00
_cell_angle_beta 90.00
_cell_angle_gamma 90.00
loop_
_atom_site_label
_atom_site_fract_x
_atom_site_fract_y
_atom_site_fract_z
P1 0.0000 0.5000 0.0000
P2 0.5000 0.0000 0.0000
Pb1 0.0000 0.0000 0.0000
S1 0.5000 0.5000 0.5000
O1 0.0000 0.0000 0.5000
```

Properties
spin magnetization	1.24	Bohr magnetons per cell

***

Arrangement Q

DFT (PBE) results for crystalline P2PbSO at its relaxed geometry.

Cell and atoms, written as CIF:
```
data_P2PbSO
_chemical_formula_sum 'P2 Pb1 S1 O1'
_space_group_name_H-M_alt 'P 1'
_space_group_IT_number 1
_space_group_name_Hall 'P 1'
_cell_length_a 5.5276
_cell_length_b 5.5276
_cell_length_c 3.4573
_cell_angle_alpha 90.00
_cell_angle_beta 90.00
_cell_angle_gamma 90.00
loop_
_atom_site_label
_atom_site_fract_x
_atom_site_fract_y
_atom_site_fract_z
P1 0.0000 0.5000 0.0000
P2 0.5000 0.0000 0.0000
Pb1 0.0000 0.0000 0.5000
S1 0.5000 0.5000 0.0000
O1 0.5000 0.5000 0.5000
```

Properties
spin magnetization	0.00	Bohr magnetons per cell

***

Sorted by energy, starting with the most stable: arrangement Q, arrangement P.

***

Arrangement P

DFT (PBE) results for crystalline SbPPbO2 at its relaxed geometry.

Cell and atoms, written as CIF:
```
data_SbPPbO2
_chemical_formula_sum 'Sb1 P1 Pb1 O2'
_space_group_name_H-M_alt 'P 1'
_space_group_IT_number 1
_space_group_name_Hall 'P 1'
_cell_length_a 4.1180
_cell_length_b 4.1180
_cell_length_c 5.1954
_cell_angle_alpha 90.00
_cell_angle_beta 90.00
_cell_angle_gamma 90.00
loop_
_atom_site_label
_atom_site_fract_x
_atom_site_fract_y
_atom_site_fract_z
Sb1 0.0000 0.0000 0.0000
P1 0.0000 0.0000 0.5000
Pb1 0.5000 0.5000 0.5000
O1 0.0000 0.5000 0.0000
O2 0.5000 0.0000 0.0000
```

Properties
spin magnetization	0.00	Bohr magnetons per cell

***

Arrangement Q

DFT (PBE) results for crystalline SbPPbO2 at its relaxed geometry.

Cell and atoms, written as CIF:
```
data_SbPPbO2
_chemical_formula_sum 'Sb1 P1 Pb1 O2'
_space_group_name_H-M_alt 'P 1'
_space_group_IT_number 1
_space_group_name_Hall 'P 1'
_cell_length_a 4.2152
_cell_length_b 4.2152
_cell_length_c 5.3792
_cell_angle_alpha 90.00
_cell_angle_beta 90.00
_cell_angle_gamma 90.00
loop_
_atom_site_label
_atom_site_fract_x
_atom_site_fract_y
_atom_site_fract_z
Sb1 0.0000 0.0000 0.0000
P1 0.5000 0.5000 0.0000
Pb1 0.5000 0.5000 0.5000
O1 0.0000 0.5000 0.5000
O2 0.5000 0.0000 0.5000
```

Properties
spin magnetization	0.00	Bohr magnetons per cell

***

Sorted by energy, starting with the most stable: arrangement P, arrangement Q.

***

Arrangement P

DFT (PBE) results for crystalline ScP2PbO at its relaxed geometry.

Cell and atoms, written as CIF:
```
data_ScP2PbO
_chemical_formula_sum 'Sc1 P2 Pb1 O1'
_space_group_name_H-M_alt 'P 1'
_space_group_IT_number 1
_space_group_name_Hall 'P 1'
_cell_length_a 5.1553
_cell_length_b 5.1553
_cell_length_c 4.1380
_cell_angle_alpha 90.00
_cell_angle_beta 90.00
_cell_angle_gamma 90.00
loop_
_atom_site_label
_atom_site_fract_x
_atom_site_fract_y
_atom_site_fract_z
Sc1 0.0000 0.0000 0.0000
P1 0.0000 0.5000 0.5000
P2 0.5000 0.0000 0.5000
Pb1 0.5000 0.5000 0.5000
O1 0.5000 0.5000 0.0000
```

Properties
spin magnetization	0.00	Bohr magnetons per cell

***

Arrangement Q

DFT (PBE) results for crystalline ScP2PbO at its relaxed geometry.

Cell and atoms, written as CIF:
```
data_ScP2PbO
_chemical_formula_sum 'Sc1 P2 Pb1 O1'
_space_group_name_H-M_alt 'P 1'
_space_group_IT_number 1
_space_group_name_Hall 'P 1'
_cell_length_a 7.3839
_cell_length_b 7.3839
_cell_length_c 3.7980
_cell_angle_alpha 90.00
_cell_angle_beta 90.00
_cell_angle_gamma 90.00
loop_
_atom_site_label
_atom_site_fract_x
_atom_site_fract_y
_atom_site_fract_z
Sc1 0.0000 0.0000 0.0000
P1 0.0000 0.5000 0.0000
P2 0.5000 0.0000 0.0000
Pb1 0.5000 0.5000 0.5000
O1 0.0000 0.0000 0.5000
```

Properties
spin magnetization	1.37	Bohr magnetons per cell

***

Sorted by energy, starting with the most stable: arrangement P, arrangement Q.

***

Arrangement P

DFT (PBE) results for crystalline PPbSeO2 at its relaxed geometry.

Cell and atoms, written as CIF:
```
data_PPbSeO2
_chemical_formula_sum 'P1 Pb1 Se1 O2'
_space_group_name_H-M_alt 'P 1'
_space_group_IT_number 1
_space_group_name_Hall 'P 1'
_cell_length_a 4.0186
_cell_length_b 4.0186
_cell_length_c 6.8220
_cell_angle_alpha 90.00
_cell_angle_beta 90.00
_cell_angle_gamma 90.00
loop_
_atom_site_label
_atom_site_fract_x
_atom_site_fract_y
_atom_site_fract_z
P1 0.0000 0.0000 0.0000
Pb1 0.0000 0.0000 0.5000
Se1 0.5000 0.5000 0.0000
O1 0.0000 0.5000 0.5000
O2 0.5000 0.0000 0.5000
```

Properties
spin magnetization	0.42	Bohr magnetons per cell

***

Arrangement Q

DFT (PBE) results for crystalline PPbSeO2 at its relaxed geometry.

Cell and atoms, written as CIF:
```
data_PPbSeO2
_chemical_formula_sum 'P1 Pb1 Se1 O2'
_space_group_name_H-M_alt 'P 1'
_space_group_IT_number 1
_space_group_name_Hall 'P 1'
_cell_length_a 4.0019
_cell_length_b 4.0019
_cell_length_c 4.9711
_cell_angle_alpha 90.00
_cell_angle_beta 90.00
_cell_angle_gamma 90.00
loop_
_atom_site_label
_atom_site_fract_x
_atom_site_fract_y
_atom_site_fract_z
P1 0.0000 0.0000 0.0000
Pb1 0.5000 0.5000 0.0000
Se1 0.0000 0.0000 0.5000
O1 0.0000 0.5000 0.5000
O2 0.5000 0.0000 0.5000
```

Properties
spin magnetization	0.00	Bohr magnetons per cell

***

Sorted by energy, starting with the most stable: arrangement Q, arrangement P.